Density functional theory data (PBE) for a relaxed Sr2ZnRh crystal.

Output
- calculated volume (A^3/atom) = 26.6
- energy (eV per atom) = -3.139
- formation energy (eV per formula unit) = -0.6
- size of the total moment (μB/f.u.) = 0.000

abc: 3.712 3.752 7.650
angles: 90.00 90.00 90.00
Space group Pmmm (No. 47)
Inequivalent atoms, fractional coordinates:
Sr1 0.000 0.000 0.227
Zn1 0.500 0.500 0.500
Rh1 0.500 0.500 0.000

---

Density functional theory data (PBE) for a relaxed Rb2CaPuI6 crystal.

Output
- calculated volume (A^3/atom) = 46.0
- energy (eV per atom) = -4.131
- size of the total moment (μB/f.u.) = 6.000

abc: 8.442 8.904 14.857
angles: 90.00 124.54 90.00
Space group P2_1/c (No. 14)
Inequivalent atoms, fractional coordinates:
Rb1 0.222 0.079 0.249
Ca1 0.000 0.000 0.500
Pu1 0.500 0.000 0.000
I1 0.140 0.201 0.950
I2 0.255 0.695 0.951
I3 0.346 0.021 0.747

---

What did the first record say?
Density functional theory data (PBE) for a relaxed Sr2ZnRh crystal.

Output
- calculated volume (A^3/atom) = 26.6
- energy (eV per atom) = -3.139
- formation energy (eV per formula unit) = -0.6
- size of the total moment (μB/f.u.) = 0.000

abc: 3.712 3.752 7.650
angles: 90.00 90.00 90.00
Space group Pmmm (No. 47)
Inequivalent atoms, fractional coordinates:
Sr1 0.000 0.000 0.227
Zn1 0.500 0.500 0.500
Rh1 0.500 0.500 0.000

---

> Which value of calculated volume does entry 1 give?

26.6 A^3/atom